1.
Entry from OQMD via LeMat-Bulk: Na4P2PdSe8 after structural relaxation (GGA-PBE).

Lattice parameters (Å, degrees): 6.1710 6.9443 9.1900 88.28 85.88 84.72
Sites, in units of the cell vectors:
1 Na 0.2324 0.1238 0.3886
2 Na 0.2517 0.6988 0.9699
3 Na 0.7483 0.3012 0.0301
4 Na 0.7676 0.8762 0.6114
5 P 0.3189 0.2165 0.7731
6 P 0.6811 0.7835 0.2269
7 Pd 0.5000 0.5000 0.5000
8 Se 0.1444 0.4464 0.6292
9 Se 0.2473 0.2588 0.0076
10 Se 0.2692 0.9256 0.6943
11 Se 0.3397 0.7040 0.2996
12 Se 0.6603 0.2960 0.7004
13 Se 0.7308 0.0744 0.3057
14 Se 0.7527 0.7412 0.9924
15 Se 0.8556 0.5536 0.3708

As for the volume: 26.069 A^3/atom. For the total energy, the calculation gives -58.4 eV per formula unit. As for the space group: No. 2.

2.
Entry from OQMD via LeMat-Bulk: Na3PrP2 after structural relaxation (GGA-PBE).

Lattice parameters (Å, degrees): 8.7466 8.7466 8.7466 131.93 71.06 131.02
Sites, in units of the cell vectors:
1 Na 0.2207 0.6136 0.8343
2 Na 0.2500 0.2500 0.0000
3 Na 0.2793 0.1136 0.3929
4 Na 0.7207 0.8864 0.6071
5 Na 0.7500 0.7500 0.0000
6 Na 0.7793 0.3864 0.1657
7 Pr 0.2500 0.7500 0.5000
8 Pr 0.7500 0.2500 0.5000
9 P 0.1050 0.2792 0.3842
10 P 0.3950 0.7792 0.1741
11 P 0.6050 0.2208 0.8259
12 P 0.8950 0.7208 0.6158

As for the volume: 30.644 A^3/atom. For the total energy, the calculation gives -22.9 eV per formula unit. As for the space group: No. 72.

3.
Entry from OQMD via LeMat-Bulk: NaPrP2S6 after structural relaxation (GGA-PBE).

Lattice parameters (Å, degrees): 11.6938 7.4556 11.1984 90.00 111.49 90.00
Sites, in units of the cell vectors:
1 Na 0.1408 0.1110 0.3779
2 Na 0.1408 0.3890 0.8779
3 Na 0.8592 0.6110 0.1221
4 Na 0.8592 0.8890 0.6221
5 Pr 0.3434 0.6086 0.5893
6 Pr 0.3434 0.8914 0.0893
7 Pr 0.6566 0.1086 0.9107
8 Pr 0.6566 0.3914 0.4107
9 P 0.1924 0.6156 0.2484
10 P 0.1924 0.8844 0.7484
11 P 0.3232 0.1023 0.7482
12 P 0.3232 0.3977 0.2482
13 P 0.6768 0.6023 0.7518
14 P 0.6768 0.8977 0.2518
15 P 0.8076 0.1156 0.2516
16 P 0.8076 0.3844 0.7516
17 S 0.0907 0.5102 0.3417
18 S 0.0907 0.9898 0.8417
19 S 0.1153 0.6950 0.0637
20 S 0.1153 0.8050 0.5637
21 S 0.2137 0.2093 0.1317
22 S 0.2137 0.2907 0.6317
23 S 0.3048 0.6842 0.8509
24 S 0.3048 0.8158 0.3509
25 S 0.4070 0.1884 0.9330
26 S 0.4070 0.3116 0.4330
27 S 0.4472 0.5187 0.1836
28 S 0.4472 0.9813 0.6836
29 S 0.5528 0.0187 0.3164
30 S 0.5528 0.4813 0.8164
31 S 0.5930 0.6884 0.5670
32 S 0.5930 0.8116 0.0670
33 S 0.6952 0.1842 0.6491
34 S 0.6952 0.3158 0.1491
35 S 0.7863 0.7093 0.3683
36 S 0.7863 0.7907 0.8683
37 S 0.8847 0.1950 0.4363
38 S 0.8847 0.3050 0.9363
39 S 0.9093 0.0102 0.1583
40 S 0.9093 0.4898 0.6583

As for the volume: 22.712 A^3/atom. For the total energy, the calculation gives -51.0 eV per formula unit. As for the space group: No. 14.

4.
Entry from OQMD via LeMat-Bulk: NaP5Pt3 after structural relaxation (GGA-PBE).

Lattice parameters (Å, degrees): 5.7553 5.7553 6.2912 90.00 90.00 120.00
Sites, in units of the cell vectors:
1 Na 0.0000 0.0000 0.0000
2 P 0.0000 0.0000 0.5000
3 P 0.3333 0.6667 0.2236
4 P 0.3333 0.6667 0.7764
5 P 0.6667 0.3333 0.2236
6 P 0.6667 0.3333 0.7764
7 Pt 0.0000 0.5000 0.5000
8 Pt 0.5000 0.0000 0.5000
9 Pt 0.5000 0.5000 0.5000

As for the volume: 20.052 A^3/atom. For the total energy, the calculation gives -45.5 eV per formula unit. As for the space group: No. 191.

5.
Entry from OQMD via LeMat-Bulk: NaPPt after structural relaxation (GGA-PBE).

Lattice parameters (Å, degrees): 6.2779 6.2779 6.2779 90.00 90.00 90.00
Sites, in units of the cell vectors:
1 Na 0.1333 0.1333 0.1333
2 Na 0.3667 0.8667 0.6333
3 Na 0.6333 0.3667 0.8667
4 Na 0.8667 0.6333 0.3667
5 P 0.0799 0.5799 0.9201
6 P 0.4201 0.4201 0.4201
7 P 0.5799 0.9201 0.0799
8 P 0.9201 0.0799 0.5799
9 Pt 0.1547 0.3453 0.6547
10 Pt 0.3453 0.6547 0.1547
11 Pt 0.6547 0.1547 0.3453
12 Pt 0.8453 0.8453 0.8453

As for the volume: 20.619 A^3/atom. For the total energy, the calculation gives -14.6 eV per formula unit. As for the space group: No. 198.

6.
Entry from OQMD via LeMat-Bulk: Na5P3Pt3 after structural relaxation (GGA-PBE).

Lattice parameters (Å, degrees): 8.8358 8.8358 4.3511 90.00 90.00 120.00
Sites, in units of the cell vectors:
1 Na 0.0000 0.7361 0.0000
2 Na 0.2639 0.2639 0.0000
3 Na 0.3333 0.6667 0.0000
4 Na 0.6667 0.3333 0.0000
5 Na 0.7361 0.0000 0.0000
6 P 0.0000 0.3648 0.0000
7 P 0.3648 0.0000 0.0000
8 P 0.6352 0.6352 0.0000
9 Pt 0.0000 0.3603 0.5000
10 Pt 0.3603 0.0000 0.5000
11 Pt 0.6397 0.6397 0.5000

As for the volume: 26.744 A^3/atom. For the total energy, the calculation gives -44.8 eV per formula unit. As for the space group: No. 189.

7.
Entry from OQMD via LeMat-Bulk: Na4SbPPt2 after structural relaxation (GGA-PBE).

Lattice parameters (Å, degrees): 5.6129 9.0862 7.0128 90.00 90.00 90.00
Sites, in units of the cell vectors:
1 Na 0.0000 0.1793 0.0000
2 Na 0.0000 0.3207 0.5000
3 Na 0.0000 0.6793 0.5000
4 Na 0.0000 0.8207 0.0000
5 Na 0.5000 0.1853 0.6805
6 Na 0.5000 0.3147 0.1805
7 Na 0.5000 0.6853 0.1805
8 Na 0.5000 0.8147 0.6805
9 Sb 0.0000 0.0000 0.6309
10 Sb 0.0000 0.5000 0.1309
11 P 0.5000 0.0000 0.0537
12 P 0.5000 0.5000 0.5537
13 Pt 0.2477 0.0000 0.3108
14 Pt 0.2477 0.5000 0.8108
15 Pt 0.7523 0.0000 0.3108
16 Pt 0.7523 0.5000 0.8108

As for the volume: 22.353 A^3/atom. For the total energy, the calculation gives -30.4 eV per formula unit. As for the space group: No. 38.

8.
Entry from OQMD via LeMat-Bulk: RbNaZn2P2 after structural relaxation (GGA-PBE).

Lattice parameters (Å, degrees): 4.0754 4.0754 9.8257 90.00 90.00 120.00
Sites, in units of the cell vectors:
1 Rb 0.0000 0.0000 0.0000
2 Na 0.0000 0.0000 0.5000
3 Zn 0.3333 0.6667 0.7184
4 Zn 0.6667 0.3333 0.2816
5 P 0.3333 0.6667 0.2754
6 P 0.6667 0.3333 0.7246

As for the volume: 23.555 A^3/atom. For the total energy, the calculation gives -18.2 eV per formula unit. As for the space group: No. 164.

Copy entry 8 word for word.
Entry from OQMD via LeMat-Bulk: RbNaZn2P2 after structural relaxation (GGA-PBE).

Lattice parameters (Å, degrees): 4.0754 4.0754 9.8257 90.00 90.00 120.00
Sites, in units of the cell vectors:
1 Rb 0.0000 0.0000 0.0000
2 Na 0.0000 0.0000 0.5000
3 Zn 0.3333 0.6667 0.7184
4 Zn 0.6667 0.3333 0.2816
5 P 0.3333 0.6667 0.2754
6 P 0.6667 0.3333 0.7246

As for the volume: 23.555 A^3/atom. For the total energy, the calculation gives -18.2 eV per formula unit. As for the space group: No. 164.

- Which formula does entry 4 have?
  NaP5Pt3